The following is a DFT calculation (GGA-PBE) of a relaxed structure of CrInGaB2.

Cell: 4.281 4.281 5.168 Å, 90.00 90.00 90.00°
Fractional positions:
Cr (0.000, 0.000, 0.000)
In (0.000, 0.000, 0.500)
Ga (0.500, 0.500, 0.000)
B (0.000, 0.500, 0.500)
B (0.500, 0.000, 0.500)

DFT total energy, eV/atom: -3.556
Symmetry: No. 123
Calculated density, g cm⁻³: 4.525
Spin magnetization, μB/cell: 0.393